1.
LiSc2OsC: relaxed, PBE.

Symmetry   No. 123
Calculated total energy   -36.62 eV/cell
Formation enthalpy at 0 K   -0.32 eV/atom
Crystal system   tetragonal

Lattice parameters (Å, degrees): 4.6039 4.6039 3.8959 90.00 90.00 90.00
Last column: nearest neighbours and their distance in Å.
Positions (direct):
Os  0.0000  0.0000  0.5000  2 C 1.95
Sc  0.5000  0.0000  0.0000  2 C 2.30
Li  0.5000  0.5000  0.5000  8 Sc 3.02, 4 Os 3.26
Sc  0.0000  0.5000  0.0000  2 C 2.30
C  0.0000  0.0000  0.0000  2 Os 1.95


2.
LiScOs2C: relaxed, PBE.

Symmetry   No. 123
Calculated total energy   -40.50 eV/cell
Formation enthalpy at 0 K   -0.11 eV/atom
Crystal system   tetragonal

Lattice parameters (Å, degrees): 4.0636 4.0636 4.1031 90.00 90.00 90.00
Last column: nearest neighbours and their distance in Å.
Positions (direct):
Os  0.0000  0.5000  0.0000  2 C 2.03
C  0.0000  0.0000  0.0000  4 Os 2.03, 2 Li 2.05
Os  0.5000  0.0000  0.0000  2 C 2.03
Sc  0.5000  0.5000  0.5000  4 Li 2.87, 8 Os 2.89
Li  0.0000  0.0000  0.5000  2 C 2.05


3.
LiTb2OsC: relaxed, PBE.

Symmetry   No. 123
Calculated total energy   -32.98 eV/cell
Formation enthalpy at 0 K   -0.27 eV/atom
Crystal system   tetragonal

Lattice parameters (Å, degrees): 3.9087 5.0264 5.0264 90.00 90.00 90.00
Last column: nearest neighbours and their distance in Å.
Positions (direct):
Os  0.5000  0.0000  0.0000  2 C 1.95
Tb  0.0000  0.0000  0.5000  2 C 2.51
C  0.0000  0.0000  0.0000  2 Os 1.95
Li  0.5000  0.5000  0.5000  8 Tb 3.18, 4 Os 3.55
Tb  0.0000  0.5000  0.0000  2 C 2.51


4.
LiTe2OsC: relaxed, PBE.

Symmetry   No. 123
Calculated total energy   -23.32 eV/cell
Crystal system   tetragonal
Formation energy from raw total energies   1065.2 meV/atom

Lattice parameters (Å, degrees): 4.6442 3.7453 4.6442 90.00 90.00 90.00
Last column: nearest neighbours and their distance in Å.
Positions (direct):
Te  0.5000  0.0000  0.0000  2 C 2.32
Li  0.0000  0.5000  0.0000  2 C 1.87
Os  0.5000  0.5000  0.5000  8 Te 2.98, 4 Li 3.28
C  0.0000  0.0000  0.0000  2 Li 1.87
Te  0.0000  0.0000  0.5000  2 C 2.32


Theoretical density (computed, g/cm3): 6.01; 10.89; 8.86; 9.55
Total magnetic moment (computed, μB/atom): 0.000; 0.000; 0.000; 0.034
V (computed, A^3/atom): 16.516; 13.551; 19.751; 16.156